# Pm2Dy4Mg (PBE-GGA, optimized geometry)
# Energy ... -54.7 eV per cell
# Energy of formation ... 0.306 eV/atom
data_Pm2Dy4Mg
_chemical_formula_sum 'Pm4 Dy8 Mg2'
_cell_length_a 8.231
_cell_length_b 8.231
_cell_length_c 6.664
_cell_angle_alpha 90.00
_cell_angle_beta 90.00
_cell_angle_gamma 90.00
_space_group_name_H-M_alt 'I -4 2 m'
_space_group_IT_number 121
_space_group_name_Hall 'I -4 2'
loop_
_atom_site_label
_atom_site_fract_x
_atom_site_fract_y
_atom_site_fract_z
Pm1 0.000 0.500 0.250
Dy1 0.203 0.203 0.425
Mg1 0.000 0.000 0.000

***

# Pm3DyMg3 (PBE-GGA, optimized geometry)
# Energy ... -92.2 eV per cell
# Energy of formation ... 0.083 eV/atom
data_Pm3DyMg3
_chemical_formula_sum 'Pm12 Dy4 Mg12'
_cell_length_a 7.348
_cell_length_b 10.762
_cell_length_c 10.748
_cell_angle_alpha 90.00
_cell_angle_beta 91.55
_cell_angle_gamma 90.00
_space_group_name_H-M_alt 'C 1 2/m 1'
_space_group_IT_number 12
_space_group_name_Hall '-C 2y'
loop_
_atom_site_label
_atom_site_fract_x
_atom_site_fract_y
_atom_site_fract_z
Pm1 0.000 0.175 0.000
Pm2 0.000 0.225 0.500
Pm3 0.032 0.500 0.829
Dy1 0.214 0.500 0.490
Mg1 0.000 0.000 0.259
Mg2 0.242 0.258 0.251

***

# Pm9Dy4Mg11 (PBE-GGA, optimized geometry)
# Energy ... -159.4 eV per cell
# Energy of formation ... -0.042 eV/atom
data_Pm9Dy4Mg11
_chemical_formula_sum 'Pm18 Dy8 Mg22'
_cell_length_a 16.248
_cell_length_b 23.133
_cell_length_c 3.694
_cell_angle_alpha 90.00
_cell_angle_beta 90.00
_cell_angle_gamma 90.00
_space_group_name_H-M_alt 'C m m m'
_space_group_IT_number 65
_space_group_name_Hall '-C 2 2'
loop_
_atom_site_label
_atom_site_fract_x
_atom_site_fract_y
_atom_site_fract_z
Pm1 0.000 0.000 0.000
Pm2 0.114 0.239 0.000
Pm3 0.122 0.413 0.000
Dy1 0.157 0.089 0.000
Mg1 0.000 0.138 0.500
Mg2 0.000 0.329 0.500
Mg3 0.000 0.500 0.500
Mg4 0.236 0.323 0.500
Mg5 0.239 0.500 0.500

***

# PmDyMg4 (PBE-GGA, optimized geometry)
# Energy ... -32.0 eV per cell
# Energy of formation ... -0.047 eV/atom
data_PmDyMg4
_chemical_formula_sum 'Pm2 Dy2 Mg8'
_cell_length_a 13.867
_cell_length_b 3.461
_cell_length_c 6.815
_cell_angle_alpha 90.00
_cell_angle_beta 104.21
_cell_angle_gamma 90.00
_space_group_name_H-M_alt 'C 1 2/m 1'
_space_group_IT_number 12
_space_group_name_Hall '-C 2y'
loop_
_atom_site_label
_atom_site_fract_x
_atom_site_fract_y
_atom_site_fract_z
Pm1 0.000 0.000 0.000
Dy1 0.000 0.000 0.500
Mg1 0.175 0.500 0.341
Mg2 0.177 0.500 0.835

***

# Pm2Dy8Mg (PBE-GGA, optimized geometry)
# Energy ... -93.5 eV per cell
# Energy of formation ... 0.108 eV/atom
data_Pm2Dy8Mg
_chemical_formula_sum 'Pm4 Dy16 Mg2'
_cell_length_a 5.503
_cell_length_b 7.732
_cell_length_c 16.661
_cell_angle_alpha 90.00
_cell_angle_beta 90.00
_cell_angle_gamma 90.00
_space_group_name_H-M_alt 'I m m m'
_space_group_IT_number 71
_space_group_name_Hall '-I 2 2'
loop_
_atom_site_label
_atom_site_fract_x
_atom_site_fract_y
_atom_site_fract_z
Pm1 0.000 0.000 0.196
Dy1 0.000 0.229 0.000
Dy2 0.000 0.280 0.365
Dy3 0.000 0.500 0.174
Mg1 0.000 0.000 0.500

***

# Pm2DyMg (PBE-GGA, optimized geometry)
# Energy ... -46.6 eV per cell
# Energy of formation ... 0.038 eV/atom
data_Pm2DyMg
_chemical_formula_sum 'Pm6 Dy3 Mg3'
_cell_length_a 3.5553
_cell_length_b 3.5553
_cell_length_c 34.4401
_cell_angle_alpha 90.00
_cell_angle_beta 90.00
_cell_angle_gamma 120.00
_space_group_name_H-M_alt 'R 3 m'
_space_group_IT_number 160
_space_group_name_Hall 'R 3 -2"'
loop_
_atom_site_label
_atom_site_fract_x
_atom_site_fract_y
_atom_site_fract_z
Pm1 0.0000 0.0000 0.0000
Pm2 0.0000 0.0000 0.1639
Dy1 0.0000 0.0000 0.5823
Mg1 0.0000 0.0000 0.4153

***

# PmDy6Mg2 (PBE-GGA, optimized geometry)
# Energy ... -94.9 eV per cell
# Energy of formation ... 0.437 eV/atom
data_PmDy6Mg2
_chemical_formula_sum 'Pm3 Dy18 Mg6'
_cell_length_a 7.1962
_cell_length_b 7.1962
_cell_length_c 19.1312
_cell_angle_alpha 90.00
_cell_angle_beta 90.00
_cell_angle_gamma 120.00
_space_group_name_H-M_alt 'R 3 m'
_space_group_IT_number 160
_space_group_name_Hall 'R 3 -2"'
loop_
_atom_site_label
_atom_site_fract_x
_atom_site_fract_y
_atom_site_fract_z
Pm1 0.0000 0.0000 0.0000
Dy1 0.0063 0.5032 0.4475
Dy2 0.0384 0.5192 0.2485
Mg1 0.0000 0.0000 0.2574
Mg2 0.0000 0.0000 0.4346

***

# Pm15Dy2Mg2 (PBE-GGA, optimized geometry)
# Energy ... -238.1 eV per cell
# Energy of formation ... 0.225 eV/atom
data_Pm15Dy2Mg2
_chemical_formula_sum 'Pm45 Dy6 Mg6'
_cell_length_a 11.2829
_cell_length_b 11.2829
_cell_length_c 17.6079
_cell_angle_alpha 90.00
_cell_angle_beta 90.00
_cell_angle_gamma 120.00
_space_group_name_H-M_alt 'R -3 m'
_space_group_IT_number 166
_space_group_name_Hall '-R 3 2"'
loop_
_atom_site_label
_atom_site_fract_x
_atom_site_fract_y
_atom_site_fract_z
Pm1 0.0000 0.2963 0.0000
Pm2 0.0000 0.5000 0.5000
Pm3 0.0164 0.5082 0.1395
Dy1 0.0000 0.0000 0.3168
Mg1 0.0000 0.0000 0.0930